Version 1
Below is an optimized crystal structure of Ce2InI, with properties calculated at the PBE level.

```
Ce2InI
1.0
3.7093 0.0000 0.0000
0.0000 3.7093 0.0000
0.0000 0.0000 8.4932
Ce In I
2 1 1
Direct
0.0000 0.0000 0.2450 Ce
0.0000 0.0000 0.7550 Ce
0.5000 0.5000 0.0000 In
0.5000 0.5000 0.5000 I
```

The theoretical density is 7.4 Mg/m³.

Version 2
Below is an optimized crystal structure of Ce2InI, with properties calculated at the PBE level.

```
Ce2InI
1.0
4.6313 0.0000 0.0000
-2.3157 4.0108 0.0000
0.0000 0.0000 21.0432
Ce In I
6 3 3
Direct
0.0000 0.0000 0.2478 Ce
0.0000 0.0000 0.7522 Ce
0.3333 0.6667 0.4189 Ce
0.3333 0.6667 0.9145 Ce
0.6667 0.3333 0.0855 Ce
0.6667 0.3333 0.5811 Ce
0.0000 0.0000 0.5000 In
0.3333 0.6667 0.1667 In
0.6667 0.3333 0.8333 In
0.0000 0.0000 0.0000 I
0.3333 0.6667 0.6667 I
0.6667 0.3333 0.3333 I
```

The theoretical density is 6.7 Mg/m³.

If you had to name the least stable structure above, which would it be? It would be version 2.